A plane-wave DFT calculation with PBE-GGA was carried out for an optimized crystal structure of RbLa2Tl.

abc: 5.8265 5.8265 5.8265
angles: 60.00 60.00 60.00
With the nearest neighbours (Å) after each atom.
Fractional coordinates of all 4 atoms:
Tl 0.5000 0.5000 0.5000  8 La 3.57
La 0.7500 0.7500 0.7500  4 Tl 3.57, 4 Rb 3.57
La 0.2500 0.2500 0.2500  4 Tl 3.57, 4 Rb 3.57
Rb 0.0000 0.0000 0.0000  8 La 3.57

Properties
E_tot: -3.10 eV per atom
formation energy from the elements: 0.197 eV/atom
offset from the most stable computed form: 0.0 meV/atom

A plane-wave DFT calculation with PBE-GGA was carried out for an optimized crystal structure of Rb2La4Tl.

abc: 6.1826 6.1826 10.8322
angles: 73.42 73.42 90.00
With the nearest neighbours (Å) after each atom.
Fractional coordinates of all 7 atoms:
La 0.0000 0.5000 0.0000  2 Tl 3.09
La 0.8456 0.8456 0.3087  1 Tl 3.06
La 0.1544 0.1544 0.6913  1 Tl 3.06
La 0.5000 0.0000 0.0000  2 Tl 3.09
Tl 0.0000 0.0000 0.0000  6 La 3.06-3.09
Rb 0.6469 0.6469 0.7062  9 La 3.94-4.37
Rb 0.3531 0.3531 0.2938  9 La 3.94-4.37

Properties
E_tot: -2.86 eV per atom
formation energy from the elements: 0.572 eV/atom

A plane-wave DFT calculation with PBE-GGA was carried out for an optimized crystal structure of Rb3LaTl.

abc: 7.1848 7.1848 7.1848
angles: 90.00 90.00 90.00
With the nearest neighbours (Å) after each atom.
Fractional coordinates of all 5 atoms:
Rb 0.0000 0.0000 0.5000  2 La 3.59
Rb 0.0000 0.5000 0.0000  2 La 3.59
Rb 0.5000 0.0000 0.0000  2 La 3.59
Tl 0.5000 0.5000 0.5000  12 Rb 5.08
La 0.0000 0.0000 0.0000  6 Rb 3.59

Properties
E_tot: -1.17 eV per atom
formation energy from the elements: 0.872 eV/atom

> Look up the E_tot of the second one.

-2.86 eV per atom

> Which value of E_tot does entry 1 give?

-3.10 eV per atom